VASP calculation (GGA-PBEsol) on K2Li2CoO4 after structural relaxation.

Structure (CIF):
```
data_K2Li2CoO4
_chemical_formula_sum 'K8 Li8 Co4 O16'
_space_group_name_H-M_alt 'P 1 21/c 1'
_space_group_IT_number 14
_space_group_name_Hall '-P 2ybc'
_cell_length_a 5.402
_cell_length_b 9.046
_cell_length_c 10.950
_cell_angle_alpha 90.00
_cell_angle_beta 111.70
_cell_angle_gamma 90.00
loop_
_atom_site_label
_atom_site_fract_x
_atom_site_fract_y
_atom_site_fract_z
K1 0.183 0.000 0.365
K2 0.317 0.227 0.156
Li1 0.099 0.749 0.684
Li2 0.148 0.015 0.930
Co1 0.367 0.713 0.545
O1 0.205 0.691 0.368
O2 0.226 0.571 0.617
O3 0.274 0.617 0.098
O4 0.275 0.205 0.900
```

Summary:
energy relative to the elements, uncorrected	-137	kJ per mole of atoms
crystal system	monoclinic